(1)
## Rb3VI6 (PBE)

Data for crystalline Rb3VI6 at its relaxed geometry.

CIF file:
```
data_Rb3VI6
_cell_length_a 12.469
_cell_length_b 12.469
_cell_length_c 12.469
_cell_angle_alpha 90.00
_cell_angle_beta 90.00
_cell_angle_gamma 90.00
_space_group_name_H-M_alt 'F m -3 m'
_space_group_IT_number 225
_space_group_name_Hall '-F 4 2 3'
loop_
_atom_site_label
_atom_site_type_symbol
_atom_site_fract_x
_atom_site_fract_y
_atom_site_fract_z
Rb1 Rb 0.000 0.000 0.000
Rb2 Rb 0.250 0.250 0.250
V1 V 0.000 0.000 0.500
I1 I 0.000 0.000 0.277
```

Results
Energy relative to the lowest polymorph listed for this composition: 0.032 eV per atom
Raw formation energy: -997 meV/atom

(2)
## Y5Os (PBE)

Data for crystalline Y5Os at its relaxed geometry.

CIF file:
```
data_Y5Os
_cell_length_a 3.889
_cell_length_b 16.336
_cell_length_c 5.398
_cell_angle_alpha 90.00
_cell_angle_beta 90.00
_cell_angle_gamma 90.00
_space_group_name_H-M_alt 'C m m m'
_space_group_IT_number 65
_space_group_name_Hall '-C 2 2'
loop_
_atom_site_label
_atom_site_type_symbol
_atom_site_fract_x
_atom_site_fract_y
_atom_site_fract_z
Y1 Y 0.000 0.000 0.000
Y2 Y 0.000 0.126 0.500
Y3 Y 0.000 0.333 0.000
Os1 Os 0.000 0.500 0.500
```

Results
Energy relative to the lowest polymorph listed for this composition: 0.136 eV per atom

(3)
## NbCrN2 (PBE)

Data for crystalline NbCrN2 at its relaxed geometry.

CIF file:
```
data_NbCrN2
_cell_length_a 4.613
_cell_length_b 4.613
_cell_length_c 9.226
_cell_angle_alpha 90.00
_cell_angle_beta 90.00
_cell_angle_gamma 90.00
_space_group_name_H-M_alt 'I -4 2 d'
_space_group_IT_number 122
_space_group_name_Hall 'I -4 2bw'
loop_
_atom_site_label
_atom_site_type_symbol
_atom_site_fract_x
_atom_site_fract_y
_atom_site_fract_z
Nb1 Nb 0.000 0.000 0.000
Cr1 Cr 0.000 0.000 0.500
N1 N 0.232 0.250 0.625
```

Results
Raw formation energy: -569 meV/atom

(4)
## ZrCr3Si (PBE)

Data for crystalline ZrCr3Si at its relaxed geometry.

CIF file:
```
data_ZrCr3Si
_cell_length_a 4.368
_cell_length_b 4.368
_cell_length_c 4.368
_cell_angle_alpha 90.00
_cell_angle_beta 90.00
_cell_angle_gamma 90.00
_space_group_name_H-M_alt 'P m -3 m'
_space_group_IT_number 221
_space_group_name_Hall '-P 4 2 3'
loop_
_atom_site_label
_atom_site_type_symbol
_atom_site_fract_x
_atom_site_fract_y
_atom_site_fract_z
Zr1 Zr 0.000 0.000 0.000
Cr1 Cr 0.000 0.500 0.500
Si1 Si 0.500 0.500 0.500
```

Results
Energy relative to the lowest polymorph listed for this composition: 0.000 eV per atom
Raw formation energy: 591 meV/atom